Density functional theory data (PBE) for a relaxed EuErTmIn crystal.

Results
The total energy is -22.41 eV per cell. The value obtained for the density of states at the Fermi level is 5.0 states/eV/cell. Its density is 8.67 g/cm³. The value obtained for the energy relative to the elements is -0.36 eV per formula unit.

abc: 5.466 5.466 5.466
angles: 60.00 60.00 60.00
Atoms (fractional coordinates):
Eu1 0.000 0.000 0.000
Er1 0.750 0.750 0.750
Tm1 0.250 0.250 0.250
In1 0.500 0.500 0.500